Below is a geometry-optimized NdNiSbPd structure, with properties calculated at the PBE-GGA level.

Results
The value obtained for the energy relative to the elements, uncorrected is -55.3 kJ/mol of atoms. The volume is 19.64 A^3/atom.

a = 4.8071 Å, b = 4.8071 Å, c = 4.8071 Å
α = 60.00°, β = 60.00°, γ = 60.00°
Atoms (fractional coordinates):
Sb1 0.0000 0.0000 0.0000
Nd1 0.5000 0.5000 0.5000
Pd1 0.7500 0.7500 0.7500
Ni1 0.2500 0.2500 0.2500